{
  "formula": "RbLiTlS",
  "functional": "GGA-PBE",
  "state": "relaxed",
  "lattice_angstrom": [[-2.598, 0.710, 3.432], [-0.442, -4.305, 0.556], [10.657, -0.051, 8.076]],
  "species": ["Rb", "Rb", "Li", "Li", "Tl", "Tl", "S", "S"],
  "fractional_positions": [[0.750, 0.750, 0.196], [0.250, 0.250, 0.804], [0.750, 0.250, 0.000], [0.250, 0.750, 0.000], [0.250, 0.750, 0.500], [0.750, 0.250, 0.500], [0.750, 0.750, 0.904], [0.250, 0.250, 0.096]],
  "sg": "No. 129",
  "total_energy_ev_per_atom": -3.11,
  "crystal_system": "tetragonal",
  "n_ef_per_ev_atom": 0.841
}


{
  "formula": "LaRe3Si2",
  "functional": "GGA-PBE",
  "state": "relaxed",
  "lattice_angstrom": [[-0.871, 3.392, 2.278], [-3.288, -6.067, 3.944], [7.454, 1.110, 1.198]],
  "species": ["La", "La", "Re", "Re", "Re", "Re", "Re", "Re", "Si", "Si", "Si", "Si"],
  "fractional_positions": [[0.856, 0.711, 0.941], [0.144, 0.289, 0.059], [0.300, 0.599, 0.530], [0.952, 0.904, 0.604], [0.586, 0.173, 0.648], [0.414, 0.827, 0.352], [0.048, 0.096, 0.396], [0.700, 0.401, 0.470], [0.477, 0.955, 0.815], [0.523, 0.045, 0.185], [0.805, 0.611, 0.289], [0.195, 0.389, 0.711]],
  "sg": "No. 12",
  "total_energy_ev_per_atom": -9.21,
  "crystal_system": "monoclinic",
  "n_ef_per_ev_atom": 0.644
}